(1)
## LaTbSc (PBE-GGA)

Data for a geometry-optimized LaTbSc structure.

```
LaTbSc
1.0
-1.783 1.783 7.315
1.783 -1.783 7.315
1.783 1.783 -7.315
La Tb Sc
1 1 1
Cartesian
0.000 0.000 0.000
0.000 0.000 9.952
0.000 0.000 4.915
```

Calculated values
Energy of formation from the pure elements: 0.0637 eV per atom
Size of the total moment: 0.000 μB/atom


(2)
## La3Tb4Sc2 (PBE-GGA)

Data for a geometry-optimized La3Tb4Sc2 structure.

```
La3Tb4Sc2
1.0
7.876 -5.883 0.000
7.876 5.883 0.000
-0.397 0.000 6.251
La Tb Sc
6 8 4
Cartesian
7.578 5.598 4.688
5.930 0.936 5.960
6.129 -0.936 2.835
9.225 0.936 3.416
9.424 -0.936 0.291
7.776 -5.598 1.563
2.758 1.661 0.302
6.616 2.973 2.861
8.937 2.973 0.265
2.559 -1.661 3.428
12.795 1.661 2.823
6.417 -2.973 5.986
8.738 -2.973 3.390
12.597 -1.661 5.949
3.764 1.417 3.475
3.963 -1.417 0.350
11.391 1.417 5.901
11.590 -1.417 2.776
```

Calculated values
Energy of formation from the pure elements: 0.1550 eV per atom
Size of the total moment: 0.000 μB/atom


(3)
## La9Tb2Sc (PBE-GGA)

Data for a geometry-optimized La9Tb2Sc structure.

```
La9Tb2Sc
1.0
5.172 0.000 0.000
0.000 5.172 0.000
0.000 0.000 15.530
La Tb Sc
9 2 1
Cartesian
0.000 0.000 0.000
0.000 0.000 5.157
0.000 0.000 10.373
0.000 2.586 2.529
0.000 2.586 7.765
0.000 2.586 13.001
2.586 0.000 2.529
2.586 0.000 7.765
2.586 0.000 13.001
2.586 2.586 5.139
2.586 2.586 10.391
2.586 2.586 0.000
```

Calculated values
Energy of formation from the pure elements: 0.0163 eV per atom
Size of the total moment: 0.000 μB/atom


(4)
## LaTb2Sc2 (PBE-GGA)

Data for a geometry-optimized LaTb2Sc2 structure.

```
LaTb2Sc2
1.0
5.961 0.000 0.000
2.052 6.700 0.000
1.920 1.244 7.394
La Tb Sc
2 4 4
Cartesian
8.391 2.919 7.394
1.542 5.025 0.000
2.492 1.066 4.398
3.518 4.417 4.397
6.415 3.527 2.997
7.441 6.877 2.997
3.503 2.589 1.438
4.531 5.939 1.438
5.402 2.004 5.956
6.430 5.355 5.956
```

Calculated values
Energy of formation from the pure elements: 0.0577 eV per atom
Size of the total moment: 0.000 μB/atom


(5)
## LaTbSc2 (PBE-GGA)

Data for a geometry-optimized LaTbSc2 structure.

```
LaTbSc2
1.0
5.120 0.000 0.000
0.000 5.120 0.000
0.000 0.000 4.439
La Tb Sc
1 1 2
Cartesian
0.000 0.000 0.000
2.560 2.560 0.000
0.000 2.560 2.219
2.560 0.000 2.219
```

Calculated values
Energy of formation from the pure elements: 0.0612 eV per atom
Size of the total moment: 0.000 μB/atom


(6)
## LaTbSc3 (PBE-GGA)

Data for a geometry-optimized LaTbSc3 structure.

```
LaTbSc3
1.0
7.290 -6.331 0.000
7.290 6.331 0.000
-1.520 0.000 6.150
La Tb Sc
4 4 12
Cartesian
0.846 0.956 2.773
0.086 -0.956 5.848
12.973 0.956 0.302
12.213 -0.956 3.376
6.150 2.323 4.612
6.910 1.015 1.537
6.150 -1.015 4.612
6.910 -2.323 1.537
5.654 3.901 0.330
3.805 2.336 2.111
3.099 1.016 5.279
8.165 3.901 2.745
3.859 -1.016 2.204
3.045 -2.336 5.186
10.015 2.336 0.964
9.200 1.016 3.946
4.894 -3.901 3.405
9.960 -1.016 0.871
9.255 -2.336 4.038
7.405 -3.901 5.819
```

Calculated values
Energy of formation from the pure elements: 0.0724 eV per atom
Size of the total moment: 0.000 μB/atom


(7)
## La8Tb3Sc2 (PBE-GGA)

Data for a geometry-optimized La8Tb3Sc2 structure.

```
La8Tb3Sc2
1.0
6.603 -5.908 0.000
6.603 5.908 0.000
-2.292 0.000 5.666
La Tb Sc
8 3 2
Cartesian
0.061 0.000 1.659
2.460 2.921 4.794
3.708 0.000 2.355
8.455 2.921 0.871
2.460 -2.921 4.794
7.206 0.000 3.310
8.455 -2.921 0.871
10.853 0.000 4.006
5.457 3.020 2.833
6.603 0.000 0.000
5.457 -3.020 2.833
0.744 0.000 4.784
10.170 0.000 0.882
```

Calculated values
Energy of formation from the pure elements: 0.1542 eV per atom
Size of the total moment: 0.000 μB/atom


(8)
## La7Tb4Sc (PBE-GGA)

Data for a geometry-optimized La7Tb4Sc structure.

```
La7Tb4Sc
1.0
6.332 0.000 0.000
-2.109 6.916 0.000
-1.068 -2.101 9.320
La Tb Sc
7 4 1
Cartesian
0.000 0.000 0.000
-1.057 1.600 3.130
-1.046 -0.216 6.180
2.113 -1.155 7.723
2.131 2.536 1.567
1.086 4.147 4.652
4.186 3.191 6.218
-1.004 3.480 0.034
-2.028 5.103 3.105
1.060 2.277 7.745
1.065 6.008 1.573
2.093 0.681 4.627
```

Calculated values
Energy of formation from the pure elements: 0.0317 eV per atom
Size of the total moment: 0.000 μB/atom


(9)
## La2TbSc (PBE-GGA)

Data for a geometry-optimized La2TbSc structure.

```
La2TbSc
1.0
5.120 0.000 0.000
0.000 5.120 0.000
0.000 0.000 4.919
La Tb Sc
2 1 1
Cartesian
0.000 2.560 0.000
2.560 0.000 0.000
0.000 0.000 2.460
2.560 2.560 2.460
```

Calculated values
Energy of formation from the pure elements: 0.0471 eV per atom
Size of the total moment: 0.000 μB/atom


(10)
## LaTb5Sc3 (PBE-GGA)

Data for a geometry-optimized LaTb5Sc3 structure.

```
LaTb5Sc3
1.0
7.348 -5.617 0.000
7.348 5.617 0.000
-6.088 0.000 7.369
La Tb Sc
2 10 6
Cartesian
2.952 0.000 0.299
5.656 0.000 7.070
3.817 2.768 1.948
1.223 0.000 3.034
7.348 2.733 0.000
-0.661 0.000 5.660
4.791 2.768 5.422
3.817 -2.768 1.948
9.269 0.000 1.709
7.348 -2.733 0.000
7.385 0.000 4.335
4.791 -2.768 5.422
0.000 0.000 0.000
-1.930 0.000 2.659
6.167 0.000 1.331
4.304 0.000 3.685
2.441 0.000 6.038
10.538 0.000 4.711
```

Calculated values
Energy of formation from the pure elements: 0.4821 eV per atom
Size of the total moment: 0.000 μB/atom


(11)
## La5Tb6Sc (PBE-GGA)

Data for a geometry-optimized La5Tb6Sc structure.

```
La5Tb6Sc
1.0
6.216 0.000 0.000
-0.006 7.265 0.000
-0.134 -3.627 8.870
La Tb Sc
5 6 1
Cartesian
0.000 0.000 0.000
1.926 0.004 5.962
1.998 3.635 5.897
4.077 0.003 2.973
4.150 3.634 2.907
0.997 1.836 2.912
0.995 5.434 2.912
3.108 1.846 0.001
2.968 1.792 8.869
5.081 -1.796 5.958
5.078 1.802 5.958
-0.003 3.632 0.000
```

Calculated values
Energy of formation from the pure elements: 0.0393 eV per atom
Size of the total moment: 0.000 μB/atom


(12)
## LaTb2Sc5 (PBE-GGA)

Data for a geometry-optimized LaTb2Sc5 structure.

```
LaTb2Sc5
1.0
-3.439 3.439 4.635
3.439 -3.439 4.635
3.439 3.439 -4.635
La Tb Sc
1 2 5
Cartesian
0.000 0.000 0.000
3.439 0.000 0.000
0.000 3.439 0.000
1.719 1.719 -2.318
1.719 -1.719 2.318
-1.719 1.719 2.318
0.000 0.000 4.635
1.719 1.719 2.318
```

Calculated values
Energy of formation from the pure elements: 0.0596 eV per atom
Size of the total moment: 0.000 μB/atom


energy of formation from the pure elements of number 11 (La5Tb6Sc)? 0.0393 eV per atom


Which of these has the lowest energy of formation from the pure elements? La9Tb2Sc


Which of these has the lowest energy of formation from the pure elements? La9Tb2Sc